Record 1
# TbMg2S4, relaxed, DFT PBE-GGA
data_TbMg2S4
_cell_length_a 6.299
_cell_length_b 6.299
_cell_length_c 12.663
_cell_angle_alpha 90.00
_cell_angle_beta 90.00
_cell_angle_gamma 145.86
_space_group_name_H-M_alt 'P 1'
_space_group_IT_number 1
loop_
_space_group_symop_operation_xyz
'x,y,z'
loop_
_atom_site_label
_atom_site_fract_x
_atom_site_fract_y
_atom_site_fract_z
Tb1 0.116 0.884 0.750
Tb2 0.884 0.116 0.250
Mg1 0.367 0.633 0.568
Mg2 0.367 0.633 0.932
Mg3 0.633 0.367 0.068
Mg4 0.633 0.367 0.432
S1 0.000 0.000 0.000
S2 0.000 0.000 0.500
S3 0.281 0.719 0.117
S4 0.281 0.719 0.383
S5 0.449 0.551 0.750
S6 0.551 0.449 0.250
S7 0.719 0.281 0.617
S8 0.719 0.281 0.883
# formation energy from raw total energies	-1420	meV/atom
# magnetic moment	0.000	μB/atom
# N(E_F)	7.63	states/eV per cell
# symmetry	No. 63

Record 2
# RbAg4Cl7, relaxed, DFT PBE-GGA
data_RbAg4Cl7
_cell_length_a 19.290
_cell_length_b 5.170
_cell_length_c 6.845
_cell_angle_alpha 90.00
_cell_angle_beta 90.00
_cell_angle_gamma 90.00
_space_group_name_H-M_alt 'P 1'
_space_group_IT_number 1
loop_
_space_group_symop_operation_xyz
'x,y,z'
loop_
_atom_site_label
_atom_site_fract_x
_atom_site_fract_y
_atom_site_fract_z
Rb1 0.000 0.250 0.000
Rb2 0.500 0.750 0.500
Ag1 0.121 0.749 0.545
Ag2 0.235 0.750 0.106
Ag3 0.265 0.250 0.606
Ag4 0.379 0.251 0.045
Ag5 0.621 0.251 0.045
Ag6 0.735 0.250 0.606
Ag7 0.765 0.750 0.106
Ag8 0.879 0.749 0.545
Cl1 0.000 0.749 0.671
Cl2 0.109 0.750 0.143
Cl3 0.136 0.250 0.590
Cl4 0.245 0.250 0.094
Cl5 0.255 0.750 0.594
Cl6 0.364 0.750 0.090
Cl7 0.391 0.250 0.643
Cl8 0.500 0.251 0.171
Cl9 0.609 0.250 0.643
Cl10 0.636 0.750 0.090
Cl11 0.745 0.750 0.594
Cl12 0.755 0.250 0.094
Cl13 0.864 0.250 0.590
Cl14 0.891 0.750 0.143
# formation energy from raw total energies	-677	meV/atom
# magnetic moment	0.000	μB/atom
# N(E_F)	8.01	states/eV per cell
# symmetry	No. 31

Record 3
# Ho2TlBi, relaxed, DFT PBE-GGA
data_Ho2TlBi
_cell_length_a 8.305
_cell_length_b 4.156
_cell_length_c 14.275
_cell_angle_alpha 90.00
_cell_angle_beta 90.00
_cell_angle_gamma 90.00
_space_group_name_H-M_alt 'P 1'
_space_group_IT_number 1
loop_
_space_group_symop_operation_xyz
'x,y,z'
loop_
_atom_site_label
_atom_site_fract_x
_atom_site_fract_y
_atom_site_fract_z
Ho1 0.189 0.250 0.237
Ho2 0.195 0.750 0.995
Ho3 0.305 0.250 0.495
Ho4 0.311 0.750 0.737
Ho5 0.689 0.250 0.263
Ho6 0.695 0.750 0.505
Ho7 0.805 0.250 0.005
Ho8 0.811 0.750 0.763
Tl1 0.044 0.750 0.585
Tl2 0.456 0.250 0.085
Tl3 0.544 0.750 0.915
Tl4 0.956 0.250 0.415
Bi1 0.070 0.250 0.842
Bi2 0.430 0.750 0.342
Bi3 0.570 0.250 0.658
Bi4 0.930 0.750 0.158
# formation energy from the elements	-44	kJ per mole of atoms
# magnetic moment	0.000	μB/atom
# N(E_F)	9.19	states/eV per cell
# symmetry	No. 62
# excess energy over the best structure of this formula in the dataset	14	meV per atom

Record 4
# Li2CeInS4, relaxed, DFT PBE-GGA
data_Li2CeInS4
_cell_length_a 6.614
_cell_length_b 3.928
_cell_length_c 6.766
_cell_angle_alpha 90.00
_cell_angle_beta 109.78
_cell_angle_gamma 90.00
_space_group_name_H-M_alt 'P 1'
_space_group_IT_number 1
loop_
_space_group_symop_operation_xyz
'x,y,z'
loop_
_atom_site_label
_atom_site_fract_x
_atom_site_fract_y
_atom_site_fract_z
Li1 0.000 0.000 0.000
Li2 0.000 0.500 0.500
Ce1 0.500 0.000 0.500
In1 0.500 0.500 0.000
S1 0.242 0.500 0.243
S2 0.250 0.000 0.762
S3 0.750 0.000 0.238
S4 0.758 0.500 0.757
# formation energy from raw total energies	-1276	meV/atom
# magnetic moment	0.096	μB/atom
# N(E_F)	4.68	states/eV per cell
# symmetry	No. 10

Record 5
# CaCu2, relaxed, DFT PBE-GGA
data_CaCu2
_cell_length_a 3.061
_cell_length_b 3.061
_cell_length_c 22.085
_cell_angle_alpha 90.00
_cell_angle_beta 90.00
_cell_angle_gamma 120.00
_space_group_name_H-M_alt 'P 1'
_space_group_IT_number 1
loop_
_space_group_symop_operation_xyz
'x,y,z'
loop_
_atom_site_label
_atom_site_fract_x
_atom_site_fract_y
_atom_site_fract_z
Ca1 0.000 0.000 0.000
Ca2 0.333 0.667 0.340
Ca3 0.667 0.333 0.660
Cu1 0.000 0.000 0.444
Cu2 0.000 0.000 0.556
Cu3 0.333 0.667 0.105
Cu4 0.333 0.667 0.216
Cu5 0.667 0.333 0.784
Cu6 0.667 0.333 0.895
# formation energy from the elements	69	kJ per mole of atoms
# magnetic moment	0.000	μB/atom
# N(E_F)	6.52	states/eV per cell
# symmetry	No. 164

Record 6
# NaTl6Au2, relaxed, DFT PBE-GGA
data_NaTl6Au2
_cell_length_a 6.226
_cell_length_b 6.226
_cell_length_c 11.406
_cell_angle_alpha 106.72
_cell_angle_beta 106.72
_cell_angle_gamma 36.07
_space_group_name_H-M_alt 'P 1'
_space_group_IT_number 1
loop_
_space_group_symop_operation_xyz
'x,y,z'
loop_
_atom_site_label
_atom_site_fract_x
_atom_site_fract_y
_atom_site_fract_z
Na1 0.000 0.000 0.000
Tl1 0.031 0.031 0.316
Tl2 0.316 0.316 0.122
Tl3 0.335 0.335 0.426
Tl4 0.665 0.665 0.574
Tl5 0.684 0.684 0.878
Tl6 0.969 0.969 0.684
Au1 0.335 0.335 0.793
Au2 0.665 0.665 0.207
# formation energy from the elements	-6	kJ per mole of atoms
# magnetic moment	0.000	μB/atom
# N(E_F)	3.99	states/eV per cell
# symmetry	No. 12

Number 1: uncorrected energy -4.895 eV per atom. Number 2: uncorrected energy -2.785 eV per atom. Number 3: uncorrected energy -4.302 eV per atom. Number 4: uncorrected energy -4.902 eV per atom. Number 5: uncorrected energy -2.685 eV per atom. Number 6: uncorrected energy -2.513 eV per atom.